No. 1
{
  "formula": "ReMo2Ru",
  "functional": "PBE",
  "state": "optimized geometry",
  "delta_e_f_mev_per_atom": 1635,
  "sg": "I-42d (122)",
  "de_polymorph_mev_per_atom": 1524,
  "lattice_angstrom": [[5.710, 0.000, 0.000], [0.000, 5.710, 0.000], [2.855, 2.855, 5.540]],
  "species": ["Re", "Re", "Mo", "Mo", "Mo", "Mo", "Ru", "Ru"],
  "fractional_positions": [[0.000, 0.000, 0.000], [0.750, 0.250, 0.500], [0.619, 0.125, 0.250], [0.131, 0.625, 0.250], [0.375, 0.381, 0.750], [0.875, 0.869, 0.750], [0.500, 0.500, 0.000], [0.250, 0.750, 0.500]]
}

No. 2
{
  "formula": "Ac2Ag3Sn2",
  "functional": "PBE",
  "state": "optimized geometry",
  "delta_e_f_mev_per_atom": -436,
  "sg": "C2/m (12)",
  "lattice_angstrom": [[-0.785, -3.657, 3.041], [-2.125, -1.230, -5.848], [7.130, -1.303, 0.273]],
  "species": ["Ac", "Ac", "Ag", "Ag", "Ag", "Sn", "Sn"],
  "fractional_positions": [[0.853, 0.707, 0.248], [0.147, 0.293, 0.752], [0.500, 0.000, 0.000], [0.595, 0.190, 0.421], [0.405, 0.810, 0.579], [0.854, 0.708, 0.762], [0.146, 0.292, 0.238]]
}

No. 3
{
  "formula": "Zn2CdSe",
  "functional": "PBE",
  "state": "optimized geometry",
  "sg": "P4/mmm (123)",
  "de_polymorph_mev_per_atom": 220,
  "raw_formation_energy_ev_per_atom": 0.1220,
  "lattice_angstrom": [[-4.336, -1.151, 0.031], [0.414, -1.671, -4.143], [0.937, -3.489, 1.501]],
  "species": ["Cd", "Se", "Zn", "Zn"],
  "fractional_positions": [[0.500, 0.000, 0.500], [0.000, 0.500, 0.500], [0.000, 0.000, 0.000], [0.500, 0.500, 0.000]]
}

No. 4
{
  "formula": "YGaHg3",
  "functional": "PBE",
  "state": "optimized geometry",
  "delta_e_f_mev_per_atom": 465,
  "sg": "Pm-3m (221)",
  "de_polymorph_mev_per_atom": 353,
  "lattice_angstrom": [[-0.314, -1.640, -5.620], [5.822, 0.500, -0.472], [0.611, -5.606, 1.602]],
  "species": ["Y", "Hg", "Hg", "Hg", "Ga"],
  "fractional_positions": [[0.000, 0.000, 0.000], [0.000, 0.500, 0.000], [0.000, 0.000, 0.500], [0.500, 0.000, 0.000], [0.500, 0.500, 0.500]]
}

No. 5
{
  "formula": "CuMoPt3",
  "functional": "PBE",
  "state": "optimized geometry",
  "delta_e_f_mev_per_atom": 1271,
  "sg": "Pm-3m (221)",
  "de_polymorph_mev_per_atom": 147,
  "lattice_angstrom": [[-1.945, -4.354, 0.638], [-0.169, -0.624, -4.768], [4.397, -1.950, 0.099]],
  "species": ["Mo", "Cu", "Pt", "Pt", "Pt"],
  "fractional_positions": [[0.000, 0.000, 0.000], [0.500, 0.500, 0.500], [0.000, 0.500, 0.000], [0.000, 0.000, 0.500], [0.500, 0.000, 0.000]]
}

No. 6
{
  "formula": "Ca2TmI",
  "functional": "PBE",
  "state": "optimized geometry",
  "sg": "R-3m (166)",
  "raw_formation_energy_ev_per_atom": -0.4247,
  "lattice_angstrom": [[3.901, 0.000, 0.000], [1.951, 3.379, 0.000], [1.951, 1.126, 10.716]],
  "species": ["I", "Ca", "Ca", "Tm"],
  "fractional_positions": [[0.000, 0.000, 0.000], [0.744, 0.744, 0.769], [0.256, 0.256, 0.231], [0.500, 0.500, 0.500]]
}

For each record above, in turn, the calculated uncorrected energy values are -9.2111, -3.9756, -1.6149, -1.6144, -5.3385, -2.9309 eV/atom.